Record 1
TiBSN2: relaxed, PBE-GGA.

## Properties
The volume is 14.866 Å³/atom. The density of states at the Fermi level comes out at 0.75 states/eV per atom. The value obtained for the formation energy without anion corrections is 109.5 kJ per mole of atoms.

Cell lengths 3.7512, 3.7512, 5.2825 Å; angles 90.00, 90.00, 90.00 degrees
Space group P4/mmm (No. 123)
Inequivalent atoms, fractional coordinates:
Ti1 0.0000 0.0000 0.0000
B1 0.5000 0.5000 0.5000
S1 0.0000 0.0000 0.5000
N1 0.0000 0.5000 0.0000



Record 2
NaPr4In5: relaxed, PBE-GGA.

## Properties
The volume is 28.903 Å³/atom. The calculation puts the formation energy at -0.41 eV per atom. The density of states at the Fermi level comes out at 0.57 states/eV per atom.

Cell lengths 3.7278, 3.7278, 20.7992 Å; angles 90.00, 90.00, 90.00 degrees
Space group P4/mmm (No. 123)
Inequivalent atoms, fractional coordinates:
Na1 0.0000 0.0000 0.0000
Pr1 0.0000 0.0000 0.1888
Pr2 0.0000 0.0000 0.3967
In1 0.5000 0.5000 0.0882
In2 0.5000 0.5000 0.2931
In3 0.5000 0.5000 0.5000



Record 3
Zr2AlIr2: relaxed, PBE-GGA.

## Properties
The volume is 18.586 Å³/atom. The calculation puts the formation energy at -0.71 eV per atom. The density of states at the Fermi level comes out at 0.73 states/eV per atom.

Cell lengths 7.3131, 7.3131, 3.4751 Å; angles 90.00, 90.00, 90.00 degrees
Space group P4/mbm (No. 127)
Inequivalent atoms, fractional coordinates:
Zr1 0.1687 0.3313 0.0000
Al1 0.0000 0.0000 0.5000
Ir1 0.1362 0.6362 0.5000



Record 4
Zn6AgRh5: relaxed, PBE-GGA.

## Properties
The volume is 14.087 Å³/atom. The calculation puts the formation energy at -0.36 eV per atom. The density of states at the Fermi level comes out at 0.52 states/eV per atom.

Cell lengths 4.2786, 6.1429, 12.8632 Å; angles 90.00, 90.00, 90.00 degrees
Space group Immm (No. 71)
Inequivalent atoms, fractional coordinates:
Zn1 0.0000 0.2366 0.0000
Zn2 0.0000 0.2569 0.3289
Ag1 0.0000 0.0000 0.5000
Rh1 0.0000 0.0000 0.1677
Rh2 0.0000 0.5000 0.1605
Rh3 0.0000 0.5000 0.5000



Record 5
CsNbAu3: relaxed, PBE-GGA.

## Properties
The volume is 39.431 Å³/atom. The calculation puts the formation energy at 1.94 eV per atom. The density of states at the Fermi level comes out at 1.13 states/eV per atom.

Cell lengths 5.8202, 5.8202, 5.8202 Å; angles 90.00, 90.00, 90.00 degrees
Space group Pm-3m (No. 221)
Inequivalent atoms, fractional coordinates:
Cs1 0.0000 0.0000 0.0000
Nb1 0.5000 0.5000 0.5000
Au1 0.0000 0.0000 0.5000



Record 6
Y2ZrPtN: relaxed, PBE-GGA.

## Properties
The volume is 19.812 Å³/atom. The density of states at the Fermi level comes out at 0.95 states/eV per atom. The value obtained for the formation energy without anion corrections is -98.9 kJ per mole of atoms.

Cell lengths 4.7526, 4.7526, 4.3855 Å; angles 90.00, 90.00, 90.00 degrees
Space group P4/mmm (No. 123)
Inequivalent atoms, fractional coordinates:
Y1 0.0000 0.5000 0.0000
Zr1 0.0000 0.0000 0.5000
Pt1 0.5000 0.5000 0.5000
N1 0.0000 0.0000 0.0000